Model one:
Computed, not measured: crystalline Dy2HgRh at its relaxed geometry at the PBE level of DFT.

```
data_Dy2HgRh
_chemical_formula_sum 'Dy8 Hg4 Rh4'
_cell_length_a 7.1395
_cell_length_b 7.1395
_cell_length_c 7.1395
_cell_angle_alpha 90.00
_cell_angle_beta 90.00
_cell_angle_gamma 90.00
_symmetry_space_group_name_H-M 'F m -3 m'
_symmetry_Int_Tables_number 225
_symmetry_space_group_name_Hall '-F 4 2 3'
loop_
_atom_site_label
_atom_site_type_symbol
_atom_site_fract_x
_atom_site_fract_y
_atom_site_fract_z
Dy1 Dy 0.2500 0.2500 0.2500
Hg1 Hg 0.0000 0.0000 0.0000
Rh1 Rh 0.0000 0.0000 0.5000
```

***

Model two:
Computed, not measured: crystalline Dy2HgRh at its relaxed geometry at the PBE level of DFT.

```
data_Dy2HgRh
_chemical_formula_sum 'Dy6 Hg3 Rh3'
_cell_length_a 3.9286
_cell_length_b 3.9286
_cell_length_c 23.2374
_cell_angle_alpha 90.00
_cell_angle_beta 90.00
_cell_angle_gamma 120.00
_symmetry_space_group_name_H-M 'R -3 m'
_symmetry_Int_Tables_number 166
_symmetry_space_group_name_Hall '-R 3 2"'
loop_
_atom_site_label
_atom_site_type_symbol
_atom_site_fract_x
_atom_site_fract_y
_atom_site_fract_z
Dy1 Dy 0.0000 0.0000 0.2345
Hg1 Hg 0.0000 0.0000 0.0000
Rh1 Rh 0.0000 0.0000 0.5000
```

***

Model three:
Computed, not measured: crystalline Dy2HgRh at its relaxed geometry at the PBE level of DFT.

```
data_Dy2HgRh
_chemical_formula_sum 'Dy6 Hg3 Rh3'
_cell_length_a 4.0086
_cell_length_b 4.0086
_cell_length_c 22.5620
_cell_angle_alpha 90.00
_cell_angle_beta 90.00
_cell_angle_gamma 120.00
_symmetry_space_group_name_H-M 'R 3 m'
_symmetry_Int_Tables_number 160
_symmetry_space_group_name_Hall 'R 3 -2"'
loop_
_atom_site_label
_atom_site_type_symbol
_atom_site_fract_x
_atom_site_fract_y
_atom_site_fract_z
Dy1 Dy 0.0000 0.0000 0.0000
Dy2 Dy 0.0000 0.0000 0.1993
Hg1 Hg 0.0000 0.0000 0.4336
Rh1 Rh 0.0000 0.0000 0.5983
```

***

Which structure wins on stability? model one wins.

***

Model one:
Computed, not measured: crystalline Dy6Hg2Rh at its relaxed geometry at the PBE level of DFT.

```
data_Dy6Hg2Rh
_chemical_formula_sum 'Dy12 Hg4 Rh2'
_cell_length_a 6.9359
_cell_length_b 7.3343
_cell_length_c 12.3007
_cell_angle_alpha 90.00
_cell_angle_beta 123.95
_cell_angle_gamma 90.00
_symmetry_space_group_name_H-M 'P 1 21/c 1'
_symmetry_Int_Tables_number 14
_symmetry_space_group_name_Hall '-P 2ybc'
loop_
_atom_site_label
_atom_site_type_symbol
_atom_site_fract_x
_atom_site_fract_y
_atom_site_fract_z
Dy1 Dy 0.1288 0.1961 0.4494
Dy2 Dy 0.2537 0.6888 0.4460
Dy3 Dy 0.3612 0.0135 0.2455
Hg1 Hg 0.2079 0.0906 0.7474
Rh1 Rh 0.5000 0.0000 0.5000
```

***

Model two:
Computed, not measured: crystalline Dy6Hg2Rh at its relaxed geometry at the PBE level of DFT.

```
data_Dy6Hg2Rh
_chemical_formula_sum 'Dy6 Hg2 Rh1'
_cell_length_a 8.5927
_cell_length_b 8.5927
_cell_length_c 3.7595
_cell_angle_alpha 90.00
_cell_angle_beta 90.00
_cell_angle_gamma 120.00
_symmetry_space_group_name_H-M 'P -6 2 m'
_symmetry_Int_Tables_number 189
_symmetry_space_group_name_Hall 'P -6 -2'
loop_
_atom_site_label
_atom_site_type_symbol
_atom_site_fract_x
_atom_site_fract_y
_atom_site_fract_z
Dy1 Dy 0.0000 0.4005 0.0000
Dy2 Dy 0.0000 0.7558 0.5000
Hg1 Hg 0.3333 0.6667 0.5000
Rh1 Rh 0.0000 0.0000 0.0000
```

***

Which structure wins on stability? model two wins.

***

Model one:
Computed, not measured: crystalline Dy3Hg2Rh at its relaxed geometry at the PBE level of DFT.

```
data_Dy3Hg2Rh
_chemical_formula_sum 'Dy6 Hg4 Rh2'
_cell_length_a 5.0756
_cell_length_b 7.4039
_cell_length_c 8.0026
_cell_angle_alpha 90.00
_cell_angle_beta 108.39
_cell_angle_gamma 90.00
_symmetry_space_group_name_H-M 'P 1 2/m 1'
_symmetry_Int_Tables_number 10
_symmetry_space_group_name_Hall '-P 2y'
loop_
_atom_site_label
_atom_site_type_symbol
_atom_site_fract_x
_atom_site_fract_y
_atom_site_fract_z
Dy1 Dy 0.0000 0.2369 0.0000
Dy2 Dy 0.3265 0.2276 0.6532
Hg1 Hg 0.1648 0.5000 0.3310
Hg2 Hg 0.5000 0.0000 0.0000
Hg3 Hg 0.5000 0.5000 0.0000
Rh1 Rh 0.1611 0.0000 0.3223
```

***

Model two:
Computed, not measured: crystalline Dy3Hg2Rh at its relaxed geometry at the PBE level of DFT.

```
data_Dy3Hg2Rh
_chemical_formula_sum 'Dy12 Hg8 Rh4'
_cell_length_a 16.1409
_cell_length_b 5.2808
_cell_length_c 7.0800
_cell_angle_alpha 90.00
_cell_angle_beta 90.04
_cell_angle_gamma 90.00
_symmetry_space_group_name_H-M 'C 1 2/c 1'
_symmetry_Int_Tables_number 15
_symmetry_space_group_name_Hall '-C 2yc'
loop_
_atom_site_label
_atom_site_type_symbol
_atom_site_fract_x
_atom_site_fract_y
_atom_site_fract_z
Dy1 Dy 0.0000 0.0189 0.2500
Dy2 Dy 0.1391 0.5000 0.0000
Hg1 Hg 0.1929 0.9996 0.2497
Rh1 Rh 0.0000 0.4809 0.7500
```

***

Which structure wins on stability? model one wins.

***

Model one:
Computed, not measured: crystalline Dy6HgRh2 at its relaxed geometry at the PBE level of DFT.

```
data_Dy6HgRh2
_chemical_formula_sum 'Dy12 Hg2 Rh4'
_cell_length_a 10.2181
_cell_length_b 4.9924
_cell_length_c 9.1456
_cell_angle_alpha 90.00
_cell_angle_beta 101.56
_cell_angle_gamma 90.00
_symmetry_space_group_name_H-M 'C 1 2/m 1'
_symmetry_Int_Tables_number 12
_symmetry_space_group_name_Hall '-C 2y'
loop_
_atom_site_label
_atom_site_type_symbol
_atom_site_fract_x
_atom_site_fract_y
_atom_site_fract_z
Dy1 Dy 0.0364 0.0000 0.3423
Dy2 Dy 0.1561 0.5000 0.8902
Dy3 Dy 0.2175 0.5000 0.3353
Hg1 Hg 0.0000 0.0000 0.0000
Rh1 Rh 0.1249 0.5000 0.5983
```

***

Model two:
Computed, not measured: crystalline Dy6HgRh2 at its relaxed geometry at the PBE level of DFT.

```
data_Dy6HgRh2
_chemical_formula_sum 'Dy24 Hg4 Rh8'
_cell_length_a 9.3439
_cell_length_b 9.5995
_cell_length_c 10.3371
_cell_angle_alpha 90.00
_cell_angle_beta 90.00
_cell_angle_gamma 90.00
_symmetry_space_group_name_H-M 'I m m m'
_symmetry_Int_Tables_number 71
_symmetry_space_group_name_Hall '-I 2 2'
loop_
_atom_site_label
_atom_site_type_symbol
_atom_site_fract_x
_atom_site_fract_y
_atom_site_fract_z
Dy1 Dy 0.0000 0.1985 0.2386
Dy2 Dy 0.1935 0.5000 0.1707
Dy3 Dy 0.2144 0.3195 0.5000
Hg1 Hg 0.0000 0.0000 0.0000
Hg2 Hg 0.0000 0.0000 0.5000
Rh1 Rh 0.0000 0.3360 0.0000
Rh2 Rh 0.0000 0.5000 0.3681
```

***

Which structure wins on stability? model two wins.

***

Model one:
Computed, not measured: crystalline DyThHgRh at its relaxed geometry at the PBE level of DFT.

```
data_DyThHgRh
_chemical_formula_sum 'Dy3 Th3 Hg3 Rh3'
_cell_length_a 4.0743
_cell_length_b 4.0743
_cell_length_c 22.8441
_cell_angle_alpha 90.00
_cell_angle_beta 90.00
_cell_angle_gamma 120.00
_symmetry_space_group_name_H-M 'R 3 m'
_symmetry_Int_Tables_number 160
_symmetry_space_group_name_Hall 'R 3 -2"'
loop_
_atom_site_label
_atom_site_type_symbol
_atom_site_fract_x
_atom_site_fract_y
_atom_site_fract_z
Dy1 Dy 0.0000 0.0000 0.0000
Th1 Th 0.0000 0.0000 0.1975
Hg1 Hg 0.0000 0.0000 0.7612
Rh1 Rh 0.0000 0.0000 0.5973
```

***

Model two:
Computed, not measured: crystalline DyThHgRh at its relaxed geometry at the PBE level of DFT.

```
data_DyThHgRh
_chemical_formula_sum 'Dy4 Th4 Hg4 Rh4'
_cell_length_a 7.2953
_cell_length_b 7.2953
_cell_length_c 7.2953
_cell_angle_alpha 90.00
_cell_angle_beta 90.00
_cell_angle_gamma 90.00
_symmetry_space_group_name_H-M 'F -4 3 m'
_symmetry_Int_Tables_number 216
_symmetry_space_group_name_Hall 'F -4 2 3'
loop_
_atom_site_label
_atom_site_type_symbol
_atom_site_fract_x
_atom_site_fract_y
_atom_site_fract_z
Dy1 Dy 0.0000 0.0000 0.0000
Th1 Th 0.0000 0.0000 0.5000
Hg1 Hg 0.2500 0.2500 0.7500
Rh1 Rh 0.2500 0.2500 0.2500
```

***

Which structure wins on stability? model one wins.

***

Model one:
Computed, not measured: crystalline Dy2HgRu at its relaxed geometry at the PBE level of DFT.

```
data_Dy2HgRu
_chemical_formula_sum 'Dy2 Hg1 Ru1'
_cell_length_a 3.4744
_cell_length_b 3.4744
_cell_length_c 7.5283
_cell_angle_alpha 90.00
_cell_angle_beta 90.00
_cell_angle_gamma 90.00
_symmetry_space_group_name_H-M 'P 4/m m m'
_symmetry_Int_Tables_number 123
_symmetry_space_group_name_Hall '-P 4 2'
loop_
_atom_site_label
_atom_site_type_symbol
_atom_site_fract_x
_atom_site_fract_y
_atom_site_fract_z
Dy1 Dy 0.0000 0.0000 0.2200
Hg1 Hg 0.5000 0.5000 0.5000
Ru1 Ru 0.5000 0.5000 0.0000
```

***

Model two:
Computed, not measured: crystalline Dy2HgRu at its relaxed geometry at the PBE level of DFT.

```
data_Dy2HgRu
_chemical_formula_sum 'Dy8 Hg4 Ru4'
_cell_length_a 7.1094
_cell_length_b 7.1094
_cell_length_c 7.1094
_cell_angle_alpha 90.00
_cell_angle_beta 90.00
_cell_angle_gamma 90.00
_symmetry_space_group_name_H-M 'F m -3 m'
_symmetry_Int_Tables_number 225
_symmetry_space_group_name_Hall '-F 4 2 3'
loop_
_atom_site_label
_atom_site_type_symbol
_atom_site_fract_x
_atom_site_fract_y
_atom_site_fract_z
Dy1 Dy 0.2500 0.2500 0.2500
Hg1 Hg 0.0000 0.0000 0.0000
Ru1 Ru 0.0000 0.0000 0.5000
```

***

Which structure wins on stability? model one wins.

***

Model one:
Computed, not measured: crystalline DyYHgRu at its relaxed geometry at the PBE level of DFT.

```
data_DyYHgRu
_chemical_formula_sum 'Dy4 Y4 Hg4 Ru4'
_cell_length_a 7.1195
_cell_length_b 7.1195
_cell_length_c 7.1195
_cell_angle_alpha 90.00
_cell_angle_beta 90.00
_cell_angle_gamma 90.00
_symmetry_space_group_name_H-M 'F -4 3 m'
_symmetry_Int_Tables_number 216
_symmetry_space_group_name_Hall 'F -4 2 3'
loop_
_atom_site_label
_atom_site_type_symbol
_atom_site_fract_x
_atom_site_fract_y
_atom_site_fract_z
Dy1 Dy 0.0000 0.0000 0.0000
Y1 Y 0.0000 0.0000 0.5000
Hg1 Hg 0.2500 0.2500 0.2500
Ru1 Ru 0.2500 0.2500 0.7500
```

***

Model two:
Computed, not measured: crystalline DyYHgRu at its relaxed geometry at the PBE level of DFT.

```
data_DyYHgRu
_chemical_formula_sum 'Dy1 Y1 Hg1 Ru1'
_cell_length_a 3.4855
_cell_length_b 3.4855
_cell_length_c 7.5033
_cell_angle_alpha 90.00
_cell_angle_beta 90.00
_cell_angle_gamma 90.00
_symmetry_space_group_name_H-M 'P 4 m m'
_symmetry_Int_Tables_number 99
_symmetry_space_group_name_Hall 'P 4 -2'
loop_
_atom_site_label
_atom_site_type_symbol
_atom_site_fract_x
_atom_site_fract_y
_atom_site_fract_z
Dy1 Dy 0.0000 0.0000 0.0000
Y1 Y 0.0000 0.0000 0.4417
Hg1 Hg 0.5000 0.5000 0.7211
Ru1 Ru 0.5000 0.5000 0.2178
```

***

Which structure wins on stability? model two wins.

***

Model one:
Computed, not measured: crystalline DyHgS2 at its relaxed geometry at the PBE level of DFT.

```
data_DyHgS2
_chemical_formula_sum 'Dy3 Hg3 S6'
_cell_length_a 4.0301
_cell_length_b 4.0301
_cell_length_c 21.0588
_cell_angle_alpha 90.00
_cell_angle_beta 90.00
_cell_angle_gamma 120.00
_symmetry_space_group_name_H-M 'R 3 m'
_symmetry_Int_Tables_number 160
_symmetry_space_group_name_Hall 'R 3 -2"'
loop_
_atom_site_label
_atom_site_type_symbol
_atom_site_fract_x
_atom_site_fract_y
_atom_site_fract_z
Dy1 Dy 0.0000 0.0000 0.0000
Hg1 Hg 0.0000 0.0000 0.8338
S1 S 0.0000 0.0000 0.4047
S2 S 0.0000 0.0000 0.5991
```

***

Model two:
Computed, not measured: crystalline DyHgS2 at its relaxed geometry at the PBE level of DFT.

```
data_DyHgS2
_chemical_formula_sum 'Dy3 Hg3 S6'
_cell_length_a 4.0091
_cell_length_b 4.0091
_cell_length_c 24.5504
_cell_angle_alpha 90.00
_cell_angle_beta 90.00
_cell_angle_gamma 120.00
_symmetry_space_group_name_H-M 'R -3 m'
_symmetry_Int_Tables_number 166
_symmetry_space_group_name_Hall '-R 3 2"'
loop_
_atom_site_label
_atom_site_type_symbol
_atom_site_fract_x
_atom_site_fract_y
_atom_site_fract_z
Dy1 Dy 0.0000 0.0000 0.0000
Hg1 Hg 0.0000 0.0000 0.5000
S1 S 0.0000 0.0000 0.3930
```

***

Which structure wins on stability? model two wins.